--- 1 ---
Computed, not measured: a relaxed Ce2SmF8 crystal at the GGA-PBE level of DFT.

CIF file:
```
data_Ce2SmF8
_symmetry_space_group_name_H-M 'I m m m'
_symmetry_Int_Tables_number 71
_symmetry_space_group_name_Hall '-I 2 2'
_cell_length_a 3.9556
_cell_length_b 6.6596
_cell_length_c 11.2196
_cell_angle_alpha 90.00
_cell_angle_beta 90.00
_cell_angle_gamma 90.00
loop_
_atom_site_label
_atom_site_type_symbol
_atom_site_fract_x
_atom_site_fract_y
_atom_site_fract_z
Ce1 Ce 0.0000 0.0000 0.1832
Sm1 Sm 0.0000 0.0000 0.5000
F1 F 0.0000 0.1916 0.0000
F2 F 0.0000 0.2740 0.3447
F3 F 0.0000 0.5000 0.1384
```



--- 2 ---
Computed, not measured: a relaxed Ce2SmF8 crystal at the GGA-PBE level of DFT.

CIF file:
```
data_Ce2SmF8
_symmetry_space_group_name_H-M 'C 1 2/m 1'
_symmetry_Int_Tables_number 12
_cell_length_a 15.0056
_cell_length_b 4.0335
_cell_length_c 5.5244
_cell_angle_alpha 90.00
_cell_angle_beta 109.50
_cell_angle_gamma 90.00
loop_
_symmetry_equiv_pos_as_xyz
'x,y,z'
'-x,-y,-z'
'-x,y,-z'
'x,-y,z'
'x+1/2,y+1/2,z'
'-x+1/2,-y+1/2,-z'
'-x+1/2,y+1/2,-z'
'x+1/2,-y+1/2,z'
loop_
_atom_site_label
_atom_site_type_symbol
_atom_site_fract_x
_atom_site_fract_y
_atom_site_fract_z
Ce1 Ce 0.1794 0.0000 0.1976
Sm1 Sm 0.0000 0.5000 0.5000
F1 F 0.0269 0.0000 0.3024
F2 F 0.0969 0.5000 0.9245
F3 F 0.1526 0.5000 0.4573
F4 F 0.2171 0.0000 0.8017
```



Most stable one: 2, least stable one: 1.